Si2TeHPt: relaxed, PBE-GGA.

density of states at the Fermi level = 0.3717 states/eV per atom
VASP energy = -3.827 eV per atom

```
Si2TeHPt
1.0
5.063 0.000 0.000
0.000 3.475 0.000
0.000 0.000 5.063
H Si Te Pt
1 2 1 1
Cartesian
0.000 1.737 0.000
0.000 0.000 2.531
2.531 0.000 0.000
0.000 0.000 0.000
2.531 1.737 2.531
```